Record 1
YThCu4 | PBE | relaxed

Lattice parameters (Å, degrees): 5.3199 5.3199 5.3199 60.00 60.00 60.00
Closest atoms and distances in Å follow each position.
Fractional positions:
Th 0.2500 0.2500 0.2500  12 Cu 3.12, 4 Y 3.26
Cu 0.6256 0.1233 0.6256  6 Cu 2.65-2.67
Cu 0.6256 0.6256 0.1233  6 Cu 2.65-2.67
Cu 0.1233 0.6256 0.6256  6 Cu 2.65-2.67
Cu 0.6256 0.6256 0.6256  6 Cu 2.65-2.67
Y 0.0000 0.0000 0.0000  12 Cu 3.12, 4 Th 3.26

Summary:
E_form in meV per atom: -88
Spin magnetization in μB/cell: 0.0
Energy above the lowest structure with this stoichiometry in eV/atom: 0.0938
Space-group type: No. 216



Record 2
K3CuS2O8 | PBE | relaxed

Lattice parameters (Å, degrees): 5.6652 5.6652 7.3995 90.00 90.00 120.00
Closest atoms and distances in Å follow each position.
Fractional positions:
Cu 0.0000 0.0000 0.5000  6 O 2.34
O 0.6667 0.3333 0.9614  1 S 1.47
O 0.6216 0.8108 0.3081  1 S 1.51
O 0.8108 0.6216 0.6919  1 S 1.51
O 0.3784 0.1892 0.6919  1 S 1.51
O 0.3333 0.6667 0.0386  1 S 1.47
O 0.1892 0.8108 0.3081  1 S 1.51
O 0.8108 0.1892 0.6919  1 S 1.51
O 0.1892 0.3784 0.3081  1 S 1.51
S 0.3333 0.6667 0.2377  4 O 1.47-1.51
S 0.6667 0.3333 0.7623  4 O 1.47-1.51
K 0.0000 0.0000 0.0000  12 O 2.94-3.28
K 0.6667 0.3333 0.3219  7 O 2.67-2.84
K 0.3333 0.6667 0.6781  7 O 2.67-2.84

Summary:
Spin magnetization in μB/cell: 0.1
Space-group type: No. 164
Raw formation energy in meV per atom: -1567



Record 3
La12Tb7Ho | PBE | relaxed

Lattice parameters (Å, degrees): 8.8831 8.8831 8.8831 89.64 89.64 89.64
Closest atoms and distances in Å follow each position.
Fractional positions:
La 0.5181 0.3921 0.8560  4 La 3.22-3.41, 1 Tb 3.30
La 0.3921 0.8560 0.5181  4 La 3.22-3.41, 1 Tb 3.30
La 0.2649 0.7180 0.8545  3 La 3.24-3.41
La 0.7180 0.8545 0.2649  3 La 3.24-3.41
La 0.4819 0.6079 0.1440  4 La 3.22-3.41, 1 Tb 3.30
La 0.2820 0.1455 0.7351  3 La 3.24-3.41
La 0.8560 0.5181 0.3921  4 La 3.22-3.41, 1 Tb 3.30
La 0.6079 0.1440 0.4819  4 La 3.22-3.41, 1 Tb 3.30
La 0.1440 0.4819 0.6079  4 La 3.22-3.41, 1 Tb 3.30
La 0.8545 0.2649 0.7180  3 La 3.24-3.41
La 0.7351 0.2820 0.1455  3 La 3.24-3.41
La 0.1455 0.7351 0.2820  3 La 3.24-3.41
Tb 0.3767 0.0608 0.1402  3 Tb 3.48-3.56, 1 Ho 3.62, 6 La 3.70-3.81
Tb 0.8598 0.6233 0.9392  3 Tb 3.48-3.56, 1 Ho 3.62, 6 La 3.70-3.81
Tb 0.0608 0.1402 0.3767  3 Tb 3.48-3.56, 1 Ho 3.62, 6 La 3.70-3.81
Tb 0.9392 0.8598 0.6233  3 Tb 3.48-3.56, 1 Ho 3.62, 6 La 3.70-3.81
Tb 0.5000 0.5000 0.5000  6 La 3.30
Tb 0.1402 0.3767 0.0608  3 Tb 3.48-3.56, 1 Ho 3.62, 6 La 3.70-3.81
Tb 0.6233 0.9392 0.8598  3 Tb 3.48-3.56, 1 Ho 3.62, 6 La 3.70-3.81
Ho 0.0000 0.0000 0.0000  6 Tb 3.62, 6 La 3.66

Summary:
E_form in meV per atom: 192
Spin magnetization in μB/cell: 0.0
Energy above the lowest structure with this stoichiometry in eV/atom: 0.0065
Space-group type: No. 148



Record 4
Al2SbIr | PBE | relaxed

Lattice parameters (Å, degrees): 4.4581 4.4581 5.7639 79.03 79.03 40.96
Closest atoms and distances in Å follow each position.
Fractional positions:
Al 0.0148 0.0148 0.9339  3 Ir 2.56-2.64, 2 Al 2.68
Al 0.4852 0.4852 0.5661  3 Ir 2.56-2.64, 2 Al 2.68
Sb 0.2500 0.2500 0.2500  6 Al 2.94-3.00, 2 Sb 3.12, 4 Ir 3.28
Ir 0.7500 0.7500 0.7500  6 Al 2.56-2.64

Summary:
Spin magnetization in μB/cell: 0.0
Space-group type: No. 12
Raw formation energy in meV per atom: -189



Record 5
BaBiSb | PBE | relaxed

Lattice parameters (Å, degrees): 4.9139 4.9139 6.0567 113.93 113.93 90.00
Closest atoms and distances in Å follow each position.
Fractional positions:
Ba 0.9494 0.9494 0.8988  5 Bi 3.54-3.75, 5 Sb 3.56-3.75
Bi 0.5922 0.5922 0.1843  1 Sb 2.82
Sb 0.3084 0.3084 0.6169  1 Bi 2.82

Summary:
Spin magnetization in μB/cell: 0.0
Energy above the lowest structure with this stoichiometry in eV/atom: 0.2009
Space-group type: No. 107
Raw formation energy in meV per atom: -465



Record 6
TlGa3Br | PBE | relaxed

Lattice parameters (Å, degrees): 5.5230 5.5230 5.5230 90.00 90.00 90.00
Closest atoms and distances in Å follow each position.
Fractional positions:
Ga 0.0000 0.0000 0.5000  2 Tl 2.76
Ga 0.5000 0.0000 0.0000  2 Tl 2.76
Ga 0.0000 0.5000 0.0000  2 Tl 2.76
Tl 0.0000 0.0000 0.0000  6 Ga 2.76
Br 0.5000 0.5000 0.5000  12 Ga 3.91

Summary:
Spin magnetization in μB/cell: 0.0
Energy above the lowest structure with this stoichiometry in eV/atom: 0.0000
Space-group type: No. 221
Raw formation energy in meV per atom: 292



Record 7
CuPCl2 | PBE | relaxed

Lattice parameters (Å, degrees): 3.8093 3.8093 7.9351 85.39 85.39 53.15
Closest atoms and distances in Å follow each position.
Fractional positions:
Cl 0.1241 0.1241 0.0708  1 P 2.03
Cl 0.8500 0.8500 0.6501  2 Cu 2.34
Cu 0.4174 0.4174 0.4516  3 P 2.31-2.40, 2 Cl 2.34
P 0.1085 0.1085 0.3274  1 Cl 2.03

Summary:
Spin magnetization in μB/cell: 0.0
Energy above the lowest structure with this stoichiometry in eV/atom: 0.0000
Space-group type: No. 8
Raw formation energy in meV per atom: -346



Record 8
Nd5Ho2Er3 | PBE | relaxed

Lattice parameters (Å, degrees): 6.4453 11.0389 11.0389 102.62 73.03 73.03
Closest atoms and distances in Å follow each position.
Fractional positions:
Nd 0.5877 0.7441 0.0805  3 Er 3.34-3.49, 1 Ho 3.56
Nd 0.5029 0.2471 0.2471  3 Er 3.02-3.34, 3 Nd 3.09-3.22
Nd 0.4971 0.7529 0.7529  3 Er 3.02-3.34, 3 Nd 3.09-3.22
Nd 0.0029 0.2471 0.2471  3 Er 3.02-3.34, 3 Nd 3.09-3.22
Nd 0.0877 0.0805 0.7441  3 Er 3.34-3.49, 1 Ho 3.56
Nd 0.9971 0.7529 0.7529  3 Er 3.02-3.34, 3 Nd 3.09-3.22
Nd 0.7500 0.5000 0.5000  4 Nd 3.09-3.22
Nd 0.9123 0.9195 0.2559  3 Er 3.34-3.49, 1 Ho 3.56
Nd 0.4123 0.2559 0.9195  3 Er 3.34-3.49, 1 Ho 3.56
Nd 0.2500 0.5000 0.5000  4 Nd 3.09-3.22
Ho 0.9067 0.4237 0.7629  3 Er 3.46-3.67, 5 Nd 3.53-3.86
Ho 0.5933 0.2371 0.5763  3 Er 3.46-3.67, 5 Nd 3.53-3.86
Ho 0.0933 0.5763 0.2371  3 Er 3.46-3.67, 5 Nd 3.53-3.86
Ho 0.4067 0.7629 0.4237  3 Er 3.46-3.67, 5 Nd 3.53-3.86
Er 0.7625 0.9070 0.5680  3 Nd 3.34, 3 Ho 3.46-3.67
Er 0.7375 0.4320 0.0930  3 Nd 3.34, 3 Ho 3.46-3.67
Er 0.2500 0.0000 0.0000  2 Nd 3.02, 2 Er 3.22
Er 0.2625 0.5680 0.9070  3 Nd 3.34, 3 Ho 3.46-3.67
Er 0.2375 0.0930 0.4320  3 Nd 3.34, 3 Ho 3.46-3.67
Er 0.7500 0.0000 0.0000  2 Nd 3.02, 2 Er 3.22

Summary:
E_form in meV per atom: 308
Spin magnetization in μB/cell: 0.0
Energy above the lowest structure with this stoichiometry in eV/atom: 0.1274
Space-group type: No. 72



Record 9
Pa4GeSe7 | PBE | relaxed

Lattice parameters (Å, degrees): 4.0781 4.0781 23.9950 90.00 90.00 120.00
Closest atoms and distances in Å follow each position.
Fractional positions:
Se 0.3333 0.6667 0.4314  3 Ge 2.87, 3 Pa 2.98
Se 0.6667 0.3333 0.8650  3 Pa 2.86
Se 0.0000 0.0000 0.7115  3 Pa 2.84
Se 0.6667 0.3333 0.5686  3 Ge 2.87, 3 Pa 2.98
Se 0.0000 0.0000 0.2885  3 Pa 2.84
Se 0.0000 0.0000 0.0000  6 Pa 2.86
Se 0.3333 0.6667 0.1350  3 Pa 2.86
Ge 0.0000 0.0000 0.5000  6 Se 2.87
Pa 0.3333 0.6667 0.9324  6 Se 2.86
Pa 0.3333 0.6667 0.6450  6 Se 2.84-2.98
Pa 0.6667 0.3333 0.3550  6 Se 2.84-2.98
Pa 0.6667 0.3333 0.0676  6 Se 2.86

Summary:
Spin magnetization in μB/cell: 3.8
Space-group type: No. 164
Raw formation energy in meV per atom: -1050



Record 10
EuYPdPb | PBE | relaxed

Lattice parameters (Å, degrees): 5.3048 5.3048 5.3048 60.00 60.00 60.00
Closest atoms and distances in Å follow each position.
Fractional positions:
Eu 0.2500 0.2500 0.2500  4 Pd 3.25, 4 Pb 3.25
Pb 0.0000 0.0000 0.0000  4 Eu 3.25, 4 Y 3.25
Y 0.7500 0.7500 0.7500  4 Pd 3.25, 4 Pb 3.25
Pd 0.5000 0.5000 0.5000  4 Y 3.25, 4 Eu 3.25

Summary:
E_form in meV per atom: -564
Spin magnetization in μB/cell: 6.9
Space-group type: No. 216



Record 11
Th2Si2Ge | PBE | relaxed

Lattice parameters (Å, degrees): 4.2602 5.8745 10.0055 83.55 77.71 68.74
Closest atoms and distances in Å follow each position.
Fractional positions:
Si 0.3793 0.1362 0.1051  1 Si 2.58, 1 Ge 2.61
Si 0.9639 0.6567 0.4155  1 Si 2.34, 2 Ge 2.51
Si 0.6207 0.8638 0.8949  1 Si 2.58, 1 Ge 2.61
Si 0.0361 0.3433 0.5845  1 Si 2.34, 2 Ge 2.51
Th 0.1012 0.6973 0.1003  6 Si 3.04-3.21, 2 Ge 3.07
Th 0.7041 0.2370 0.3548  4 Ge 3.15-3.25, 7 Si 3.17-3.30
Th 0.2959 0.7630 0.6452  4 Ge 3.15-3.25, 7 Si 3.17-3.30
Th 0.8988 0.3027 0.8997  6 Si 3.04-3.21, 2 Ge 3.07
Ge 0.5677 0.1780 0.6867  3 Si 2.51-2.61
Ge 0.4323 0.8220 0.3133  3 Si 2.51-2.61

Summary:
Spin magnetization in μB/cell: 0.0
Energy above the lowest structure with this stoichiometry in eV/atom: 0.0000
Space-group type: No. 12
Raw formation energy in meV per atom: -596



Record 12
Y3NiPt8 | PBE | relaxed

Lattice parameters (Å, degrees): 5.4024 5.4024 9.3463 73.20 73.20 60.00
Closest atoms and distances in Å follow each position.
Fractional positions:
Pt 0.3106 0.3106 0.0683  6 Pt 2.70
Pt 0.8098 0.8098 0.5705  6 Pt 2.68-2.71
Pt 0.0573 0.5616 0.8195  6 Pt 2.68-2.72, 3 Y 2.97-2.99
Pt 0.0605 0.0605 0.3186  6 Pt 2.70-2.71, 1 Ni 2.71
Pt 0.5605 0.0605 0.3186  6 Pt 2.70-2.71, 1 Ni 2.71
Pt 0.0605 0.5605 0.3186  6 Pt 2.70-2.71, 1 Ni 2.71
Pt 0.5616 0.5616 0.8195  6 Pt 2.68-2.72, 3 Y 2.97-2.99
Pt 0.5616 0.0573 0.8195  6 Pt 2.68-2.72, 3 Y 2.97-2.99
Y 0.6210 0.6210 0.1370  12 Pt 3.14-3.20, 4 Y 3.47-3.49
Y 0.4899 0.4899 0.5304  12 Pt 2.99-3.28, 3 Ni 3.14
Y 0.0135 0.0135 0.9594  9 Pt 2.97-3.26
Ni 0.1433 0.1433 0.5701  3 Pt 2.71

Summary:
E_form in meV per atom: -860
Spin magnetization in μB/cell: 0.3
Space-group type: No. 160